[1]
CaEr2Cu | GGA-PBE | optimized geometry

abc: 3.4963 3.4963 9.1885
angles: 90.00 90.00 90.00
Atoms (fractional coordinates):
1 Ca 0.0000 0.0000 0.0000
2 Er 0.5000 0.5000 0.3215
3 Er 0.5000 0.5000 0.6785
4 Cu 0.0000 0.0000 0.5000

Values from the calculation:
- Space-group type: P4/mmm (123)
- Density of states at the Fermi level: 3.94 states/eV per cell
- Magnetization: 0.0 μB per formula unit
- Electronic total energy: -15.458 eV for the cell shown

---

[2]
MnSnIrS | GGA-PBE | optimized geometry

abc: 6.7069 6.7069 6.7069
angles: 153.27 149.27 41.17
Atoms (fractional coordinates):
1 Mn 0.0000 0.0000 0.0000
2 Sn 0.1944 0.6944 0.5000
3 Ir 0.8122 0.3122 0.5000
4 S 0.4486 0.4486 0.0000

Values from the calculation:
- Space-group type: Imm2 (44)
- Density of states at the Fermi level: 2.48 states/eV per cell
- Magnetization: 3.5 μB per formula unit
- Electronic total energy: -26.435 eV for the cell shown
- Uncorrected formation energy: -26 kJ/mol of formula units

---

[3]
Sb2TeSe2 | GGA-PBE | optimized geometry

abc: 7.1670 7.1670 7.1670
angles: 141.11 141.11 56.17
Atoms (fractional coordinates):
1 Sb 0.1325 0.1325 0.0000
2 Sb 0.8675 0.8675 0.0000
3 Te 0.5000 0.5000 0.0000
4 Se 0.2500 0.7500 0.5000
5 Se 0.7500 0.2500 0.5000

Values from the calculation:
- Space-group type: I4/mmm (139)
- Density of states at the Fermi level: 0.99 states/eV per cell
- Magnetization: 0.0 μB per formula unit
- Electronic total energy: -18.023 eV for the cell shown
- Uncorrected formation energy: 32 kJ/mol of formula units

---

[4]
MgZr4O9 | GGA-PBE | optimized geometry

abc: 16.4930 16.4930 6.0302
angles: 91.20 91.20 12.06
Atoms (fractional coordinates):
1 Mg 0.0000 0.0000 0.0000
2 Mg 0.5000 0.5000 0.5000
3 Zr 0.0789 0.0789 0.6780
4 Zr 0.1868 0.1868 0.3974
5 Zr 0.2933 0.2933 0.1169
6 Zr 0.4002 0.4002 0.8231
7 Zr 0.5998 0.5998 0.1769
8 Zr 0.7067 0.7067 0.8831
9 Zr 0.8132 0.8132 0.6026
10 Zr 0.9211 0.9211 0.3220
11 O 0.0168 0.0168 0.7012
12 O 0.0652 0.0652 0.0587
13 O 0.1223 0.1223 0.3954
14 O 0.1792 0.1792 0.7608
15 O 0.2288 0.2288 0.1206
16 O 0.2862 0.2862 0.4789
17 O 0.3352 0.3352 0.8382
18 O 0.3950 0.3950 0.1793
19 O 0.4394 0.4394 0.5509
20 O 0.5606 0.5606 0.4491
21 O 0.6050 0.6050 0.8207
22 O 0.6648 0.6648 0.1618
23 O 0.7138 0.7138 0.5211
24 O 0.7712 0.7712 0.8794
25 O 0.8208 0.8208 0.2392
26 O 0.8777 0.8777 0.6046
27 O 0.9348 0.9348 0.9413
28 O 0.9832 0.9832 0.2988

Values from the calculation:
- Space-group type: C2/m (12)
- Density of states at the Fermi level: 0.00 states/eV per cell
- Magnetization: 0.0 μB per formula unit
- Electronic total energy: -250.472 eV for the cell shown
- Uncorrected formation energy: -4325 kJ/mol of formula units

---

[5]
KPt2F7 | GGA-PBE | optimized geometry

abc: 7.1280 7.1280 4.0845
angles: 90.00 90.00 125.87
Atoms (fractional coordinates):
1 K 0.0000 0.0000 0.0000
2 Pt 0.3346 0.6654 0.5000
3 Pt 0.6654 0.3346 0.5000
4 F 0.0439 0.3468 0.5000
5 F 0.3188 0.6812 0.0000
6 F 0.3468 0.0439 0.5000
7 F 0.5000 0.5000 0.5000
8 F 0.6532 0.9561 0.5000
9 F 0.6812 0.3188 0.0000
10 F 0.9561 0.6532 0.5000

Values from the calculation:
- Space-group type: Cmmm (65)
- Density of states at the Fermi level: 5.29 states/eV per cell
- Magnetization: 0.0 μB per formula unit
- Electronic total energy: -40.672 eV for the cell shown
- Uncorrected formation energy: -1389 kJ/mol of formula units

---

[6]
La2MgS4 | GGA-PBE | optimized geometry

abc: 14.1724 8.4142 6.6844
angles: 90.00 90.00 90.00
Atoms (fractional coordinates):
1 La 0.0000 0.0000 0.0000
2 La 0.0000 0.5000 0.0000
3 La 0.2272 0.2500 0.4876
4 La 0.2728 0.7500 0.9876
5 La 0.5000 0.0000 0.5000
6 La 0.5000 0.5000 0.5000
7 La 0.7272 0.2500 0.0124
8 La 0.7728 0.7500 0.5124
9 Mg 0.0974 0.7500 0.4188
10 Mg 0.4026 0.2500 0.9188
11 Mg 0.5974 0.7500 0.0812
12 Mg 0.9026 0.2500 0.5812
13 S 0.0622 0.2500 0.7374
14 S 0.0917 0.7500 0.7807
15 S 0.1703 0.5219 0.2425
16 S 0.1703 0.9781 0.2425
17 S 0.3297 0.0219 0.7425
18 S 0.3297 0.4781 0.7425
19 S 0.4083 0.2500 0.2807
20 S 0.4378 0.7500 0.2374
21 S 0.5622 0.2500 0.7626
22 S 0.5917 0.7500 0.7193
23 S 0.6703 0.5219 0.2575
24 S 0.6703 0.9781 0.2575
25 S 0.8297 0.0219 0.7575
26 S 0.8297 0.4781 0.7575
27 S 0.9083 0.2500 0.2193
28 S 0.9378 0.7500 0.2626

Values from the calculation:
- Space-group type: Pnma (62)
- Density of states at the Fermi level: 0.00 states/eV per cell
- Magnetization: 0.0 μB per formula unit
- Electronic total energy: -165.891 eV for the cell shown
- Uncorrected formation energy: -1304 kJ/mol of formula units

---

[7]
DyAgPd3 | GGA-PBE | optimized geometry

abc: 4.5082 5.8610 7.2630
angles: 90.00 90.00 90.00
Atoms (fractional coordinates):
1 Dy 0.2500 0.2500 0.1704
2 Dy 0.7500 0.7500 0.8296
3 Ag 0.2500 0.7500 0.4486
4 Ag 0.7500 0.2500 0.5514
5 Pd 0.2500 0.0234 0.7543
6 Pd 0.2500 0.4766 0.7543
7 Pd 0.2500 0.7500 0.0777
8 Pd 0.7500 0.2500 0.9223
9 Pd 0.7500 0.5234 0.2457
10 Pd 0.7500 0.9766 0.2457

Values from the calculation:
- Space-group type: Pmmn (59)
- Density of states at the Fermi level: 2.45 states/eV per cell
- Magnetization: 0.0 μB per formula unit
- Electronic total energy: -51.002 eV for the cell shown

---

[8]
Zr2TaAu | GGA-PBE | optimized geometry

abc: 10.5287 10.5287 10.5287
angles: 157.46 157.46 32.09
Atoms (fractional coordinates):
1 Zr 0.1220 0.6250 0.9970
2 Zr 0.3750 0.3720 0.4970
3 Zr 0.6280 0.1250 0.0030
4 Zr 0.8750 0.8780 0.5030
5 Ta 0.0000 0.0000 0.0000
6 Ta 0.7500 0.2500 0.5000
7 Au 0.2500 0.7500 0.5000
8 Au 0.5000 0.5000 0.0000

Values from the calculation:
- Space-group type: I-42d (122)
- Density of states at the Fermi level: 11.48 states/eV per cell
- Magnetization: 0.0 μB per formula unit
- Electronic total energy: -61.104 eV for the cell shown

---

[9]
RhCl2F | GGA-PBE | optimized geometry

abc: 8.3283 8.3283 8.3283
angles: 21.72 21.72 21.72
Atoms (fractional coordinates):
1 Rh 0.0000 0.0000 0.0000
2 Cl 0.0887 0.0887 0.0887
3 Cl 0.9113 0.9113 0.9113
4 F 0.5000 0.5000 0.5000

Values from the calculation:
- Space-group type: R-3m (166)
- Density of states at the Fermi level: 2.50 states/eV per cell
- Magnetization: 0.0 μB per formula unit
- Electronic total energy: -12.402 eV for the cell shown
- Uncorrected formation energy: 50 kJ/mol of formula units

---

[10]
Nb5Sn2 | GGA-PBE | optimized geometry

abc: 5.3038 5.3038 7.5517
angles: 94.37 94.37 39.41
Atoms (fractional coordinates):
1 Nb 0.0000 0.0000 0.0000
2 Nb 0.1447 0.1447 0.4262
3 Nb 0.3008 0.3008 0.8611
4 Nb 0.6992 0.6992 0.1389
5 Nb 0.8553 0.8553 0.5738
6 Sn 0.4185 0.4185 0.2779
7 Sn 0.5815 0.5815 0.7221

Values from the calculation:
- Space-group type: C2/m (12)
- Density of states at the Fermi level: 5.94 states/eV per cell
- Magnetization: 0.0 μB per formula unit
- Electronic total energy: -59.318 eV for the cell shown

---

[11]
La2BiBr | GGA-PBE | optimized geometry

abc: 3.9631 3.9631 7.8363
angles: 90.00 90.00 90.00
Atoms (fractional coordinates):
1 La 0.0000 0.0000 0.2382
2 La 0.0000 0.0000 0.7618
3 Bi 0.5000 0.5000 0.0000
4 Br 0.5000 0.5000 0.5000

Values from the calculation:
- Space-group type: P4/mmm (123)
- Density of states at the Fermi level: 3.22 states/eV per cell
- Magnetization: 1.1 μB per formula unit
- Electronic total energy: -19.602 eV for the cell shown
- Uncorrected formation energy: -405 kJ/mol of formula units

---

[12]
Ho6AlPt2 | GGA-PBE | optimized geometry

abc: 8.4635 8.4635 8.4635
angles: 112.92 111.36 104.26
Atoms (fractional coordinates):
1 Ho 0.0422 0.2379 0.8044
2 Ho 0.1808 0.2863 0.4671
3 Ho 0.1808 0.7137 0.8945
4 Ho 0.3309 0.0300 0.6991
5 Ho 0.3309 0.6317 0.3009
6 Ho 0.4335 0.2379 0.1956
7 Ho 0.5665 0.7621 0.8044
8 Ho 0.6691 0.3683 0.6991
9 Ho 0.6691 0.9700 0.3009
10 Ho 0.8192 0.2863 0.1055
11 Ho 0.8192 0.7137 0.5329
12 Ho 0.9578 0.7621 0.1956
13 Al 0.0000 0.0000 0.0000
14 Al 0.5000 0.5000 0.0000
15 Pt 0.1352 0.6352 0.5000
16 Pt 0.3342 0.0000 0.3342
17 Pt 0.6657 0.0000 0.6657
18 Pt 0.8648 0.3648 0.5000

Values from the calculation:
- Space-group type: Immm (71)
- Density of states at the Fermi level: 16.36 states/eV per cell
- Magnetization: 0.0 μB per formula unit
- Electronic total energy: -99.591 eV for the cell shown

---

Question: Which value of magnetization does entry 12 give?
Answer: 0.0 μB per formula unit